<one>
Compound: MnCdNi
Source: the Alexandria database
Functional: PBE
Structure: relaxed

**Mass density**: 8.3 g/cm3
**Crystal system**: trigonal

Lattice parameters (Å, degrees): 4.325 4.325 2.788 90.00 90.00 120.00
Atoms (fractional coordinates):
Mn 0.000 0.000 0.000
Cd 0.333 0.667 0.558
Ni 0.667 0.333 0.142

=====

<two>
Compound: MnCdNi
Source: the Alexandria database
Functional: PBE
Structure: relaxed

**Mass density**: 8.1 g/cm3
**Crystal system**: trigonal

Lattice parameters (Å, degrees): 2.876 2.876 6.482 90.00 90.00 120.00
Atoms (fractional coordinates):
Mn 0.000 0.000 0.000
Cd 0.333 0.667 0.627
Ni 0.667 0.333 0.280

=====

<three>
Compound: MnCdNi
Source: the Alexandria database
Functional: PBE
Structure: relaxed

**Mass density**: 8.2 g/cm3
**Crystal system**: tetragonal

Lattice parameters (Å, degrees): 3.107 3.107 9.447 90.00 90.00 90.00
Atoms (fractional coordinates):
Mn 0.000 0.000 0.000
Mn 0.500 0.500 0.500
Cd 0.000 0.000 0.304
Cd 0.500 0.500 0.804
Ni 0.000 0.000 0.624
Ni 0.500 0.500 0.124

=====

<four>
Compound: MnCdNi
Source: the Alexandria database
Functional: PBE
Structure: relaxed

**Mass density**: 7.0 g/cm3
**Crystal system**: cubic

Lattice parameters (Å, degrees): 5.974 5.974 5.974 90.00 90.00 90.00
Atoms (fractional coordinates):
Mn 0.000 0.000 0.000
Mn 0.000 0.500 0.500
Mn 0.500 0.000 0.500
Mn 0.500 0.500 0.000
Cd 0.000 0.000 0.500
Cd 0.000 0.500 0.000
Cd 0.500 0.000 0.000
Cd 0.500 0.500 0.500
Ni 0.250 0.250 0.250
Ni 0.250 0.750 0.750
Ni 0.750 0.250 0.750
Ni 0.750 0.750 0.250

=====

Most stable structure among those shown: <three>.